Computed, not measured: a relaxed structure of Cr2In3 at the GGA-PBE level of DFT.

Cell and atoms, written as CIF:
```
data_Cr2In3
_chemical_formula_sum 'Cr2 In3'
_cell_length_a 4.6629
_cell_length_b 4.6629
_cell_length_c 5.6949
_cell_angle_alpha 90.00
_cell_angle_beta 90.00
_cell_angle_gamma 120.00
_symmetry_space_group_name_H-M 'P -3 m 1'
_symmetry_Int_Tables_number 164
_symmetry_space_group_name_Hall '-P 3 2"'
loop_
_atom_site_label
_atom_site_type_symbol
_atom_site_fract_x
_atom_site_fract_y
_atom_site_fract_z
Cr1 Cr 0.3333 0.6667 0.3582
In1 In 0.0000 0.0000 0.5000
In2 In 0.3333 0.6667 0.8592
```

Electronic total energy (eV/atom): -5.189
Formation energy from the elements (meV/atom): 303.5



Computed, not measured: a relaxed structure of Cr3In5 at the GGA-PBE level of DFT.

Cell and atoms, written as CIF:
```
data_Cr3In5
_chemical_formula_sum 'Cr6 In10'
_cell_length_a 5.832
_cell_length_b 7.892
_cell_length_c 7.909
_cell_angle_alpha 84.01
_cell_angle_beta 72.34
_cell_angle_gamma 72.58
_symmetry_space_group_name_H-M 'P -1'
_symmetry_Int_Tables_number 2
loop_
_symmetry_equiv_pos_as_xyz
'x,y,z'
'-x,-y,-z'
loop_
_atom_site_label
_atom_site_type_symbol
_atom_site_fract_x
_atom_site_fract_y
_atom_site_fract_z
Cr1 Cr 0.066 0.168 0.037
Cr2 Cr 0.251 0.980 0.518
Cr3 Cr 0.433 0.462 0.334
In1 In 0.047 0.686 0.615
In2 In 0.199 0.839 0.217
In3 In 0.250 0.476 0.023
In4 In 0.301 0.283 0.663
In5 In 0.450 0.885 0.814
```

Electronic total energy (eV/atom): -4.947
Formation energy from the elements (meV/atom): 373.5



Computed, not measured: a relaxed structure of CrIn2 at the GGA-PBE level of DFT.

Cell and atoms, written as CIF:
```
data_CrIn2
_chemical_formula_sum 'Cr2 In4'
_cell_length_a 3.452
_cell_length_b 4.141
_cell_length_c 9.090
_cell_angle_alpha 90.00
_cell_angle_beta 90.00
_cell_angle_gamma 90.00
_symmetry_space_group_name_H-M 'I m m m'
_symmetry_Int_Tables_number 71
_symmetry_space_group_name_Hall '-I 2 2'
loop_
_atom_site_label
_atom_site_type_symbol
_atom_site_fract_x
_atom_site_fract_y
_atom_site_fract_z
Cr1 Cr 0.000 0.000 0.000
In1 In 0.000 0.000 0.336
```

Electronic total energy (eV/atom): -4.662
Formation energy from the elements (meV/atom): 371.4



Computed, not measured: a relaxed structure of CrIn4 at the GGA-PBE level of DFT.

Cell and atoms, written as CIF:
```
data_CrIn4
_chemical_formula_sum 'Cr1 In4'
_cell_length_a 5.212
_cell_length_b 5.212
_cell_length_c 5.212
_cell_angle_alpha 90.00
_cell_angle_beta 90.00
_cell_angle_gamma 90.00
_symmetry_space_group_name_H-M 'P m -3 m'
_symmetry_Int_Tables_number 221
_symmetry_space_group_name_Hall '-P 4 2 3'
loop_
_atom_site_label
_atom_site_type_symbol
_atom_site_fract_x
_atom_site_fract_y
_atom_site_fract_z
Cr1 Cr 0.000 0.000 0.000
In1 In 0.000 0.000 0.500
In2 In 0.500 0.500 0.500
```

Electronic total energy (eV/atom): -3.724
Formation energy from the elements (meV/atom): 390.9



Computed, not measured: a relaxed structure of Cr2In at the GGA-PBE level of DFT.

Cell and atoms, written as CIF:
```
data_Cr2In
_chemical_formula_sum 'Cr4 In2'
_cell_length_a 4.5864
_cell_length_b 4.5864
_cell_length_c 5.6822
_cell_angle_alpha 90.00
_cell_angle_beta 90.00
_cell_angle_gamma 120.00
_symmetry_space_group_name_H-M 'P 63/m m c'
_symmetry_Int_Tables_number 194
_symmetry_space_group_name_Hall '-P 6c 2c'
loop_
_atom_site_label
_atom_site_type_symbol
_atom_site_fract_x
_atom_site_fract_y
_atom_site_fract_z
Cr1 Cr 0.0000 0.0000 0.0000
Cr2 Cr 0.3333 0.6667 0.2500
In1 In 0.3333 0.6667 0.7500
```

Electronic total energy (eV/atom): -6.878
Formation energy from the elements (meV/atom): 450.6



Computed, not measured: a relaxed structure of Cr3In at the GGA-PBE level of DFT.

Cell and atoms, written as CIF:
```
data_Cr3In
_chemical_formula_sum 'Cr9 In3'
_cell_length_a 8.5714
_cell_length_b 8.5714
_cell_length_c 2.6299
_cell_angle_alpha 90.00
_cell_angle_beta 90.00
_cell_angle_gamma 120.00
_symmetry_space_group_name_H-M 'R -3 m'
_symmetry_Int_Tables_number 166
_symmetry_space_group_name_Hall '-R 3 2"'
loop_
_atom_site_label
_atom_site_type_symbol
_atom_site_fract_x
_atom_site_fract_y
_atom_site_fract_z
Cr1 Cr 0.0000 0.5000 0.0000
In1 In 0.0000 0.0000 0.0000
```

Electronic total energy (eV/atom): -7.318
Formation energy from the elements (meV/atom): 584.0



Computed, not measured: a relaxed structure of CrIn2 at the GGA-PBE level of DFT.

Cell and atoms, written as CIF:
```
data_CrIn2
_chemical_formula_sum 'Cr4 In8'
_cell_length_a 5.905
_cell_length_b 4.490
_cell_length_c 9.559
_cell_angle_alpha 90.00
_cell_angle_beta 90.00
_cell_angle_gamma 90.00
_symmetry_space_group_name_H-M 'P n m a'
_symmetry_Int_Tables_number 62
loop_
_symmetry_equiv_pos_as_xyz
'x,y,z'
'-x,-y,-z'
'-x+1/2,-y,z+1/2'
'x+1/2,y,-z+1/2'
'x+1/2,-y+1/2,-z+1/2'
'-x+1/2,y+1/2,z+1/2'
'-x,y+1/2,-z'
'x,-y+1/2,z'
loop_
_atom_site_label
_atom_site_type_symbol
_atom_site_fract_x
_atom_site_fract_y
_atom_site_fract_z
Cr1 Cr 0.235 0.250 0.164
In1 In 0.062 0.250 0.815
In2 In 0.178 0.250 0.463
```

Electronic total energy (eV/atom): -4.729
Formation energy from the elements (meV/atom): 304.2



Computed, not measured: a relaxed structure of CrInIr2 at the GGA-PBE level of DFT.

Cell and atoms, written as CIF:
```
data_CrInIr2
_chemical_formula_sum 'Cr1 In1 Ir2'
_cell_length_a 4.142
_cell_length_b 4.142
_cell_length_c 3.654
_cell_angle_alpha 90.00
_cell_angle_beta 90.00
_cell_angle_gamma 90.00
_symmetry_space_group_name_H-M 'P 4/m m m'
_symmetry_Int_Tables_number 123
_symmetry_space_group_name_Hall '-P 4 2'
loop_
_atom_site_label
_atom_site_type_symbol
_atom_site_fract_x
_atom_site_fract_y
_atom_site_fract_z
Cr1 Cr 0.000 0.000 0.000
In1 In 0.500 0.500 0.000
Ir1 Ir 0.000 0.500 0.500
```

Electronic total energy (eV/atom): -7.512
Formation energy from the elements (meV/atom): 9.4



Computed, not measured: a relaxed structure of CrInIr2 at the GGA-PBE level of DFT.

Cell and atoms, written as CIF:
```
data_CrInIr2
_chemical_formula_sum 'Cr3 In3 Ir6'
_cell_length_a 2.8195
_cell_length_b 2.8195
_cell_length_c 26.7559
_cell_angle_alpha 90.00
_cell_angle_beta 90.00
_cell_angle_gamma 120.00
_symmetry_space_group_name_H-M 'R 3 m'
_symmetry_Int_Tables_number 160
_symmetry_space_group_name_Hall 'R 3 -2"'
loop_
_atom_site_label
_atom_site_type_symbol
_atom_site_fract_x
_atom_site_fract_y
_atom_site_fract_z
Cr1 Cr 0.0000 0.0000 0.0000
In1 In 0.0000 0.0000 0.7532
Ir1 Ir 0.0000 0.0000 0.2604
Ir2 Ir 0.0000 0.0000 0.5078
```

Electronic total energy (eV/atom): -7.256
Formation energy from the elements (meV/atom): 264.6



Computed, not measured: a relaxed structure of CrInIr2 at the GGA-PBE level of DFT.

Cell and atoms, written as CIF:
```
data_CrInIr2
_chemical_formula_sum 'Cr2 In2 Ir4'
_cell_length_a 8.961
_cell_length_b 2.874
_cell_length_c 4.951
_cell_angle_alpha 90.00
_cell_angle_beta 101.43
_cell_angle_gamma 90.00
_symmetry_space_group_name_H-M 'C 1 2/m 1'
_symmetry_Int_Tables_number 12
loop_
_symmetry_equiv_pos_as_xyz
'x,y,z'
'-x,-y,-z'
'-x,y,-z'
'x,-y,z'
'x+1/2,y+1/2,z'
'-x+1/2,-y+1/2,-z'
'-x+1/2,y+1/2,-z'
'x+1/2,-y+1/2,z'
loop_
_atom_site_label
_atom_site_type_symbol
_atom_site_fract_x
_atom_site_fract_y
_atom_site_fract_z
Cr1 Cr 0.000 0.000 0.000
In1 In 0.000 0.500 0.500
Ir1 Ir 0.242 0.500 0.228
```

Electronic total energy (eV/atom): -7.456
Formation energy from the elements (meV/atom): 64.7



Computed, not measured: a relaxed structure of CrInIr2 at the GGA-PBE level of DFT.

Cell and atoms, written as CIF:
```
data_CrInIr2
_chemical_formula_sum 'Cr1 In1 Ir2'
_cell_length_a 2.823
_cell_length_b 2.823
_cell_length_c 7.702
_cell_angle_alpha 90.00
_cell_angle_beta 90.00
_cell_angle_gamma 90.00
_symmetry_space_group_name_H-M 'P 4 m m'
_symmetry_Int_Tables_number 99
loop_
_symmetry_equiv_pos_as_xyz
'x,y,z'
'-y,x,z'
'-x,-y,z'
'y,-x,z'
'-x,y,z'
'y,x,z'
'x,-y,z'
'-y,-x,z'
loop_
_atom_site_label
_atom_site_type_symbol
_atom_site_fract_x
_atom_site_fract_y
_atom_site_fract_z
Cr1 Cr 0.000 0.000 0.000
In1 In 0.500 0.500 0.272
Ir1 Ir 0.000 0.000 0.540
Ir2 Ir 0.500 0.500 0.797
```

Electronic total energy (eV/atom): -7.360
Formation energy from the elements (meV/atom): 160.7



Computed, not measured: a relaxed structure of Cr2InIr at the GGA-PBE level of DFT.

Cell and atoms, written as CIF:
```
data_Cr2InIr
_chemical_formula_sum 'Cr2 In1 Ir1'
_cell_length_a 2.769
_cell_length_b 3.970
_cell_length_c 5.504
_cell_angle_alpha 90.00
_cell_angle_beta 90.02
_cell_angle_gamma 90.00
_symmetry_space_group_name_H-M 'P 1 2/m 1'
_symmetry_Int_Tables_number 10
loop_
_symmetry_equiv_pos_as_xyz
'x,y,z'
'-x,-y,-z'
'-x,y,-z'
'x,-y,z'
loop_
_atom_site_label
_atom_site_type_symbol
_atom_site_fract_x
_atom_site_fract_y
_atom_site_fract_z
Cr1 Cr 0.002 0.000 0.196
In1 In 0.500 0.500 0.500
Ir1 Ir 0.500 0.500 0.000
```

Electronic total energy (eV/atom): -7.492
Formation energy from the elements (meV/atom): 219.8



Calculated density (g/cm3)
6.94; 7.33; 7.20; 6.00; 7.02; 8.06; 7.38; 14.60; 14.91; 14.65; 14.92; 11.28